A geometry-optimized La2Sn2PdAu3 structure. Source: OQMD via LeMat-Bulk, functional PBE.

Output
Magnetic moment: 0.01 Bohr magnetons per cell
Final energy: -4.8653 eV/atom

a = 4.7992 Å, b = 4.7992 Å, c = 9.6262 Å
α = 90.00°, β = 90.00°, γ = 120.00°
Space group P3m1 (No. 156)
Asymmetric unit:
La 0.0000 0.0000 0.0000 x1
La 0.3333 0.6667 0.5010 x1
Sn 0.6667 0.3333 0.2506 x1
Sn 0.6667 0.3333 0.7324 x1
Pd 0.0000 0.0000 0.6705 x1
Au 0.0000 0.0000 0.3548 x1
Au 0.3333 0.6667 0.1465 x1
Au 0.3333 0.6667 0.8358 x1


A geometry-optimized LaSnPdAu structure. Source: OQMD via LeMat-Bulk, functional PBE.

Output
Magnetic moment: 0.01 Bohr magnetons per cell
Final energy: -5.1396 eV/atom

a = 4.7658 Å, b = 4.7658 Å, c = 9.5378 Å
α = 90.00°, β = 90.00°, γ = 120.00°
Space group P-3m1 (No. 164)
Asymmetric unit:
La 0.3333 0.6667 0.2538 x2
Sn 0.0000 0.0000 0.0000 x1
Sn 0.0000 0.0000 0.5000 x1
Pd 0.3333 0.6667 0.5708 x2
Au 0.3333 0.6667 0.8932 x2


A geometry-optimized LaSnPdAu structure. Source: OQMD via LeMat-Bulk, functional PBE.

Output
Magnetic moment: 0.01 Bohr magnetons per cell
Final energy: -5.1258 eV/atom

a = 4.7846 Å, b = 4.7846 Å, c = 9.4250 Å
α = 90.00°, β = 90.00°, γ = 120.00°
Space group P6_3mc (No. 186)
Asymmetric unit:
La 0.3333 0.6667 0.0000 x2
Sn 0.0000 0.0000 0.2324 x2
Pd 0.3333 0.6667 0.6638 x2
Au 0.3333 0.6667 0.3406 x2


A geometry-optimized LaSnPdAu structure. Source: OQMD via LeMat-Bulk, functional PBE.

Output
Magnetic moment: 0.00 Bohr magnetons per cell
Final energy: -5.1333 eV/atom

a = 4.8039 Å, b = 4.8039 Å, c = 9.3949 Å
α = 90.00°, β = 90.00°, γ = 120.00°
Space group P-6m2 (No. 187)
Asymmetric unit:
La 0.0000 0.0000 0.0000 x1
La 0.3333 0.6667 0.5000 x1
Sn 0.6667 0.3333 0.2839 x2
Pd 0.0000 0.0000 0.3225 x2
Au 0.3333 0.6667 0.1567 x2


A geometry-optimized La2Zn4PdAu structure. Source: OQMD via LeMat-Bulk, functional PBE.

Output
Magnetic moment: 0.02 Bohr magnetons per cell
Final energy: -3.4874 eV/atom
ΔH_f (0 K): -0.57 eV/atom

a = 7.064 Å, b = 4.593 Å, c = 10.117 Å
α = 90.00°, β = 90.00°, γ = 90.00°
Space group Amm2 (No. 38)
Asymmetric unit:
La 0.000 0.000 0.000 x2
La 0.500 0.000 0.170 x2
Zn 0.192 0.000 0.717 x4
Zn 0.316 0.000 0.458 x4
Pd 0.500 0.000 0.883 x2
Au 0.000 0.000 0.295 x2


A geometry-optimized LaZnPd2Au2 structure. Source: OQMD via LeMat-Bulk, functional PBE.

Output
Magnetic moment: 0.01 Bohr magnetons per cell
Final energy: -4.5029 eV/atom
ΔH_f (0 K): -0.66 eV/atom

a = 5.675 Å, b = 9.173 Å, c = 4.532 Å
α = 90.00°, β = 90.00°, γ = 90.00°
Space group Cmmm (No. 65)
Asymmetric unit:
La 0.000 0.000 0.000 x2
Zn 0.000 0.500 0.500 x2
Pd 0.250 0.250 0.500 x4
Au 0.000 0.339 0.000 x4


A geometry-optimized LaZn2PdAu2 structure. Source: OQMD via LeMat-Bulk, functional PBE.

Output
Magnetic moment: 0.00 Bohr magnetons per cell
Final energy: -3.7789 eV/atom
ΔH_f (0 K): -0.59 eV/atom

a = 5.405 Å, b = 9.675 Å, c = 4.503 Å
α = 90.00°, β = 90.00°, γ = 90.00°
Space group Cmmm (No. 65)
Asymmetric unit:
La 0.000 0.000 0.000 x2
Zn 0.250 0.250 0.500 x4
Pd 0.000 0.500 0.500 x2
Au 0.000 0.324 0.000 x4


A geometry-optimized LaPrAu2 structure. Source: OQMD via LeMat-Bulk, functional PBE.

Output
Magnetic moment: 0.01 Bohr magnetons per cell
Final energy: -4.8701 eV/atom
ΔH_f (0 K): -0.81 eV/atom

a = 4.834 Å, b = 3.905 Å, c = 11.413 Å
α = 90.00°, β = 90.00°, γ = 90.00°
Space group Amm2 (No. 38)
Asymmetric unit:
La 0.000 0.000 0.000 x2
Pr 0.500 0.000 0.725 x2
Au 0.000 0.000 0.276 x2
Au 0.500 0.000 0.450 x2


A geometry-optimized LaPrAu2 structure. Source: OQMD via LeMat-Bulk, functional PBE.

Output
Magnetic moment: 0.02 Bohr magnetons per cell
Final energy: -4.8723 eV/atom
ΔH_f (0 K): -0.81 eV/atom

a = 4.845 Å, b = 7.529 Å, c = 5.942 Å
α = 90.00°, β = 90.00°, γ = 90.00°
Space group Pmn2_1 (No. 31)
Asymmetric unit:
La 0.000 0.066 0.000 x2
Pr 0.000 0.565 0.216 x2
Au 0.000 0.212 0.507 x2
Au 0.000 0.705 0.709 x2


A geometry-optimized LaPrAu2 structure. Source: OQMD via LeMat-Bulk, functional PBE.

Output
Magnetic moment: 0.02 Bohr magnetons per cell
Final energy: -4.8739 eV/atom
ΔH_f (0 K): -0.82 eV/atom

a = 4.852 Å, b = 5.950 Å, c = 7.529 Å
α = 90.00°, β = 90.00°, γ = 90.00°
Space group Pmc2_1 (No. 26)
Asymmetric unit:
La 0.000 0.108 0.000 x2
Pr 0.500 0.393 0.632 x2
Au 0.000 0.399 0.358 x2
Au 0.500 0.101 0.275 x2


A geometry-optimized LaPr2Si4Pt2Au2 structure. Source: OQMD via LeMat-Bulk, functional PBE.

Output
Magnetic moment: 0.06 Bohr magnetons per cell
Final energy: -5.9138 eV/atom

a = 4.297 Å, b = 4.306 Å, c = 24.777 Å
α = 90.00°, β = 90.00°, γ = 90.00°
Space group Immm (No. 71)
Asymmetric unit:
La 0.000 0.000 0.000 x2
Pr 0.000 0.500 0.149 x4
Si 0.000 0.000 0.452 x4
Si 0.000 0.500 0.301 x4
Pt 0.000 0.000 0.248 x4
Au 0.000 0.500 0.401 x4


A geometry-optimized La2PrZn3Pt2Au structure. Source: OQMD via LeMat-Bulk, functional PBE.

Output
Magnetic moment: 0.06 Bohr magnetons per cell
Final energy: -4.5823 eV/atom
ΔH_f (0 K): -0.83 eV/atom

a = 4.049 Å, b = 13.106 Å, c = 7.531 Å
α = 90.00°, β = 90.00°, γ = 90.00°
Space group Amm2 (No. 38)
Asymmetric unit:
La 0.000 0.208 0.000 x4
Pr 0.000 0.000 0.621 x2
Zn 0.500 0.000 0.957 x2
Zn 0.500 0.122 0.332 x4
Pt 0.500 0.168 0.709 x4
Au 0.000 0.000 0.207 x2


final energy of number 3 (LaSnPdAu)? -5.1258 eV/atom


Which formula does entry 4 have? LaSnPdAu


Among the records above, which one has the highest final energy? La2Zn4PdAu